Below is crystalline TeOsW at its relaxed geometry, with properties calculated at the PBE level.

Lattice parameters (Å, degrees): 3.0377 3.0377 6.6532 90.00 90.00 120.00
With the nearest neighbours (Å) after each atom.
Atoms (fractional coordinates):
W 0.3333 0.6667 0.6832  3 Os 2.65, 3 Te 2.91
Os 0.0000 0.0000 0.9824  3 W 2.65, 3 Te 2.93
Te 0.6667 0.3333 0.3344  3 W 2.91, 3 Os 2.93, 6 Te 3.04

V: 53.17 Å³/cell
Excess energy over the best structure of this formula in the dataset: 120 meV per atom
DFT total energy: -8.457 eV/atom
Symmetry: No. 156
DOS(E_F): 1.630 states/eV/cell

***

Below is crystalline TeOsW2 at its relaxed geometry, with properties calculated at the PBE level.

Lattice parameters (Å, degrees): 4.2061 2.9571 5.6698 74.84 90.00 90.00
With the nearest neighbours (Å) after each atom.
Atoms (fractional coordinates):
W 0.5000 0.3047 0.2655  1 Te 2.72, 4 Os 2.81, 6 W 2.96-2.97
W 0.0000 0.9408 0.9932  1 Os 2.62, 4 Te 2.85
Te 0.5000 0.5533 0.7691  2 Os 2.66, 5 W 2.72-2.85, 2 Te 2.96
Os 0.0000 0.7012 0.4722  5 W 2.62-2.81, 2 Te 2.66

V: 68.07 Å³/cell
DFT total energy: -9.391 eV/atom
Symmetry: No. 38
DOS(E_F): 3.623 states/eV/cell

***

Below is crystalline Te2OsW at its relaxed geometry, with properties calculated at the PBE level.

Lattice parameters (Å, degrees): 7.9063 7.9063 7.9063 152.82 150.99 40.17
With the nearest neighbours (Å) after each atom.
Atoms (fractional coordinates):
Te 0.6161 0.6161 0.0000  2 Os 2.72, 2 W 2.81
W 0.2500 0.7500 0.5000  4 Os 2.72, 4 Te 2.81
Os 0.7500 0.2500 0.5000  4 W 2.72, 4 Te 2.72
Te 0.8839 0.8839 0.0000  2 Os 2.72, 2 W 2.81

V: 109.28 Å³/cell
Excess energy over the best structure of this formula in the dataset: 47 meV per atom
DFT total energy: -7.200 eV/atom
Symmetry: No. 71
DOS(E_F): 3.689 states/eV/cell

***

In order of appearance, formation energy without anion corrections = 0.65; 0.68; 0.42 eV per atom.